Record 1
VASP calculation (PBE-GGA) on a relaxed structure of Al5Zn2Ga5.

```
data_Al5Zn2Ga5
_chemical_formula_sum 'Al10 Zn4 Ga10'
_cell_length_a 9.123
_cell_length_b 2.812
_cell_length_c 16.493
_cell_angle_alpha 90.00
_cell_angle_beta 95.38
_cell_angle_gamma 90.00
_symmetry_space_group_name_H-M 'C 1 2/m 1'
_symmetry_Int_Tables_number 12
loop_
_symmetry_equiv_pos_as_xyz
'x,y,z'
'-x,-y,-z'
'-x,y,-z'
'x,-y,z'
'x+1/2,y+1/2,z'
'-x+1/2,-y+1/2,-z'
'-x+1/2,y+1/2,-z'
'x+1/2,-y+1/2,z'
loop_
_atom_site_label
_atom_site_fract_x
_atom_site_fract_y
_atom_site_fract_z
_atom_site_occupancy
Al1 0.000 0.000 0.000 1
Al2 0.004 0.500 0.332 1
Al3 0.011 0.500 0.838 1
Zn1 0.229 0.000 0.242 1
Ga1 0.000 0.000 0.500 1
Ga2 0.246 0.500 0.085 1
Ga3 0.248 0.000 0.411 1
```

## Properties
Theoretical density in g cm⁻³: 4.843
Formation energy from the elements in kJ/mol of formula units: 65.3
Total energy in eV for the cell shown: -71.437


Record 2
VASP calculation (PBE-GGA) on a relaxed structure of Al4Zn6Ga.

```
data_Al4Zn6Ga
_chemical_formula_sum 'Al8 Zn12 Ga2'
_cell_length_a 6.033
_cell_length_b 6.033
_cell_length_c 10.756
_cell_angle_alpha 90.00
_cell_angle_beta 90.00
_cell_angle_gamma 90.00
_symmetry_space_group_name_H-M 'I -4 2 m'
_symmetry_Int_Tables_number 121
_symmetry_space_group_name_Hall 'I -4 2'
loop_
_atom_site_label
_atom_site_fract_x
_atom_site_fract_y
_atom_site_fract_z
_atom_site_occupancy
Al1 0.236 0.236 0.336 1
Zn1 0.000 0.500 0.000 1
Zn2 0.160 0.160 0.107 1
Ga1 0.000 0.000 0.500 1
```

## Properties
Theoretical density in g cm⁻³: 4.837
Formation energy from the elements in kJ/mol of formula units: 152.2
Total energy in eV for the cell shown: -48.127


Record 3
VASP calculation (PBE-GGA) on a relaxed structure of AlZnGa5.

```
data_AlZnGa5
_chemical_formula_sum 'Al2 Zn2 Ga10'
_cell_length_a 5.946
_cell_length_b 6.058
_cell_length_c 7.636
_cell_angle_alpha 90.00
_cell_angle_beta 90.00
_cell_angle_gamma 90.00
_symmetry_space_group_name_H-M 'I m m 2'
_symmetry_Int_Tables_number 44
loop_
_symmetry_equiv_pos_as_xyz
'x,y,z'
'-x,-y,z'
'-x,y,z'
'x,-y,z'
'x+1/2,y+1/2,z+1/2'
'-x+1/2,-y+1/2,z+1/2'
'-x+1/2,y+1/2,z+1/2'
'x+1/2,-y+1/2,z+1/2'
loop_
_atom_site_label
_atom_site_fract_x
_atom_site_fract_y
_atom_site_fract_z
_atom_site_occupancy
Al1 0.000 0.000 0.000 1
Zn1 0.000 0.500 0.423 1
Ga1 0.000 0.000 0.335 1
Ga2 0.000 0.294 0.749 1
Ga3 0.214 0.500 0.097 1
```

## Properties
Theoretical density in g cm⁻³: 5.325
Energy relative to the lowest polymorph listed for this composition in eV per atom: 0.0880
Formation energy from the elements in kJ/mol of formula units: 104.5
Total energy in eV for the cell shown: -38.137


Record 4
VASP calculation (PBE-GGA) on a relaxed structure of AlZnGa2.

```
data_AlZnGa2
_chemical_formula_sum 'Al4 Zn4 Ga8'
_cell_length_a 6.575
_cell_length_b 6.575
_cell_length_c 6.575
_cell_angle_alpha 90.00
_cell_angle_beta 90.00
_cell_angle_gamma 90.00
_symmetry_space_group_name_H-M 'F m -3 m'
_symmetry_Int_Tables_number 225
_symmetry_space_group_name_Hall '-F 4 2 3'
loop_
_atom_site_label
_atom_site_fract_x
_atom_site_fract_y
_atom_site_fract_z
_atom_site_occupancy
Al1 0.000 0.000 0.000 1
Zn1 0.000 0.000 0.500 1
Ga1 0.250 0.250 0.250 1
```

## Properties
Theoretical density in g cm⁻³: 5.418
Energy relative to the lowest polymorph listed for this composition in eV per atom: 0.0568
Formation energy from the elements in kJ/mol of formula units: 34.6
Total energy in eV for the cell shown: -42.845


Record 5
VASP calculation (PBE-GGA) on a relaxed structure of AlZn2Ga5.

```
data_AlZn2Ga5
_chemical_formula_sum 'Al4 Zn8 Ga20'
_cell_length_a 6.693
_cell_length_b 6.693
_cell_length_c 13.092
_cell_angle_alpha 90.00
_cell_angle_beta 90.00
_cell_angle_gamma 90.00
_symmetry_space_group_name_H-M 'I 4/m c m'
_symmetry_Int_Tables_number 140
_symmetry_space_group_name_Hall '-I 4 2c'
loop_
_atom_site_label
_atom_site_fract_x
_atom_site_fract_y
_atom_site_fract_z
_atom_site_occupancy
Al1 0.000 0.000 0.250 1
Zn1 0.139 0.361 0.000 1
Ga1 0.000 0.000 0.000 1
Ga2 0.155 0.345 0.343 1
```

## Properties
Theoretical density in g cm⁻³: 5.736
Energy relative to the lowest polymorph listed for this composition in eV per atom: 0.0371
Formation energy from the elements in kJ/mol of formula units: 61.6
Total energy in eV for the cell shown: -83.145


Record 6
VASP calculation (PBE-GGA) on a relaxed structure of Al7ZnGa12.

```
data_Al7ZnGa12
_chemical_formula_sum 'Al21 Zn3 Ga36'
_cell_length_a 11.9045
_cell_length_b 11.9045
_cell_length_c 8.9656
_cell_angle_alpha 90.00
_cell_angle_beta 90.00
_cell_angle_gamma 120.00
_symmetry_space_group_name_H-M 'R -3'
_symmetry_Int_Tables_number 148
_symmetry_space_group_name_Hall '-R 3'
loop_
_atom_site_label
_atom_site_fract_x
_atom_site_fract_y
_atom_site_fract_z
_atom_site_occupancy
Al1 0.0000 0.0000 0.0000 1
Al2 0.0101 0.8653 0.7486 1
Zn1 0.0000 0.0000 0.5000 1
Ga1 0.0235 0.2479 0.9278 1
Ga2 0.0600 0.5721 0.1337 1
```

## Properties
Theoretical density in g cm⁻³: 4.939
Formation energy from the elements in kJ/mol of formula units: 127.9
Total energy in eV for the cell shown: -187.407


Record 7
VASP calculation (PBE-GGA) on a relaxed structure of Al6Zn3Ga2.

```
data_Al6Zn3Ga2
_chemical_formula_sum 'Al6 Zn3 Ga2'
_cell_length_a 7.891
_cell_length_b 2.873
_cell_length_c 8.555
_cell_angle_alpha 90.00
_cell_angle_beta 90.29
_cell_angle_gamma 90.00
_symmetry_space_group_name_H-M 'P 1 2/m 1'
_symmetry_Int_Tables_number 10
loop_
_symmetry_equiv_pos_as_xyz
'x,y,z'
'-x,-y,-z'
'-x,y,-z'
'x,-y,z'
loop_
_atom_site_label
_atom_site_fract_x
_atom_site_fract_y
_atom_site_fract_z
_atom_site_occupancy
Al1 0.047 0.000 0.347 1
Al2 0.342 0.000 0.048 1
Al3 0.343 0.000 0.593 1
Zn1 0.000 0.000 0.000 1
Zn2 0.191 0.500 0.815 1
Ga1 0.352 0.500 0.316 1
```

## Properties
Theoretical density in g cm⁻³: 4.260
Formation energy from the elements in kJ/mol of formula units: 111.4
Total energy in eV for the cell shown: -31.177


Record 8
VASP calculation (PBE-GGA) on a relaxed structure of Al3ZnGa3.

```
data_Al3ZnGa3
_chemical_formula_sum 'Al6 Zn2 Ga6'
_cell_length_a 7.5104
_cell_length_b 7.5104
_cell_length_c 5.0020
_cell_angle_alpha 90.00
_cell_angle_beta 90.00
_cell_angle_gamma 120.00
_symmetry_space_group_name_H-M 'P 63/m'
_symmetry_Int_Tables_number 176
_symmetry_space_group_name_Hall '-P 6c'
loop_
_atom_site_label
_atom_site_fract_x
_atom_site_fract_y
_atom_site_fract_z
_atom_site_occupancy
Al1 0.0942 0.4782 0.2500 1
Zn1 0.3333 0.6667 0.7500 1
Ga1 0.0493 0.2431 0.7500 1
```

## Properties
Theoretical density in g cm⁻³: 4.832
Energy relative to the lowest polymorph listed for this composition in eV per atom: 0.0044
Formation energy from the elements in kJ/mol of formula units: 48.9
Total energy in eV for the cell shown: -42.151